KFeOs | PBE | relaxed

Results
- DFT formation energy (eV/atom) = 0.920
- Fermi-level density of states (states/eV/f.u.) = 3.59
- energy relative to the lowest polymorph listed for this composition (meV/atom) = 97
- magnetization (μB/f.u.) = 1.42

abc: 7.2016 7.2016 7.2016
angles: 156.48 156.48 33.50
Sites, in units of the cell vectors:
1 K 0.0000 0.0000 0.0000
2 Fe 0.7084 0.7084 0.0000
3 Os 0.2955 0.2955 0.0000

***

K2FeOs2 | PBE | relaxed

Results
- DFT formation energy (eV/atom) = 1.270
- Fermi-level density of states (states/eV/f.u.) = 6.58
- energy relative to the lowest polymorph listed for this composition (meV/atom) = 238
- magnetization (μB/f.u.) = 3.02

abc: 11.4569 11.4569 11.4569
angles: 162.44 162.44 24.93
Sites, in units of the cell vectors:
1 K 0.1166 0.1166 0.0000
2 K 0.8834 0.8834 0.0000
3 Fe 0.5000 0.5000 0.0000
4 Os 0.2500 0.7500 0.5000
5 Os 0.7500 0.2500 0.5000